DyAsAu: optimized geometry, GGA-PBE.

Geometry as CIF:
```
data_DyAsAu
_cell_length_a 4.668
_cell_length_b 4.668
_cell_length_c 4.668
_cell_angle_alpha 60.00
_cell_angle_beta 60.00
_cell_angle_gamma 60.00
_space_group_name_H-M_alt 'P 1'
_space_group_IT_number 1
_space_group_name_Hall 'P 1'
loop_
_atom_site_label
_atom_site_type_symbol
_atom_site_fract_x
_atom_site_fract_y
_atom_site_fract_z
As1 As 0.250 0.250 0.250
Au1 Au 0.000 0.000 0.000
Dy1 Dy 0.750 0.750 0.750
```

## Properties
- total DFT energy (no corrections) (eV/atom) = -4.85
- symmetry = F-43m, No. 216